VASP calculation (PBE+U) on crystalline K2Co2OsO6 at its relaxed geometry.

Structure (CIF):
```
data_K2Co2OsO6
_cell_length_a 5.180
_cell_length_b 5.180
_cell_length_c 6.322
_cell_angle_alpha 98.00
_cell_angle_beta 98.00
_cell_angle_gamma 119.20
_symmetry_space_group_name_H-M 'P 1'
_symmetry_Int_Tables_number 1
loop_
_symmetry_equiv_pos_as_xyz
'x,y,z'
loop_
_atom_site_label
_atom_site_fract_x
_atom_site_fract_y
_atom_site_fract_z
K1 0.168 0.832 0.000
K2 0.832 0.168 0.000
Co1 0.334 0.666 0.500
Co2 0.666 0.334 0.500
Os1 0.000 0.000 0.500
O1 0.058 0.395 0.662
O2 0.290 0.290 0.338
O3 0.395 0.058 0.662
O4 0.605 0.942 0.338
O5 0.710 0.710 0.662
O6 0.942 0.605 0.338
```

Computed properties:
theoretical density = 5.63 g/cm3
energy = -5.9376 eV/atom
DOS at the Fermi energy = 6.13 states/eV per cell